The following is a DFT calculation (PBE) of a relaxed ZnPIrCl2 crystal.

a = 5.026 Å, b = 5.026 Å, c = 4.471 Å
α = 90.00°, β = 90.00°, γ = 90.00°
Positions (direct):
Cl (0.500, 0.000, 0.000)
Cl (0.000, 0.500, 0.000)
Ir (0.000, 0.000, 0.000)
Zn (0.500, 0.500, 0.500)
P (0.000, 0.000, 0.500)

Computed properties:
Space-group type: P4/mmm
E_form (uncorrected) (eV/atom): 0.26